Record 1
First-principles (PBE) data for a geometry-optimized CaCd11Au structure, as listed in Alexandria via LeMat-Bulk.

Values from the calculation:
The formation energy comes out at -12 kJ per mole of atoms.

abc: 5.8873 7.6972 7.7251
angles: 81.41 67.60 66.93
Positions (direct):
Cd1 0.5044 0.2144 0.7888
Cd2 0.7068 0.7856 0.7888
Cd3 0.0103 0.6451 0.3479
Cd4 0.6418 0.3549 0.3479
Cd5 0.2932 0.2144 0.2112
Cd6 0.4956 0.7856 0.2112
Cd7 0.3582 0.6451 0.6521
Cd8 0.0000 0.5000 0.0000
Cd9 0.9897 0.3549 0.6521
Cd10 0.0000 0.0000 0.5000
Cd11 0.5000 0.0000 0.5000
Ca1 0.0000 0.0000 0.0000
Au1 0.5000 0.5000 0.0000


Record 2
First-principles (PBE) data for a geometry-optimized Ca2Cd5Au3 structure, as listed in Alexandria via LeMat-Bulk.

Values from the calculation:
The formation energy comes out at -42 kJ per mole of atoms.

abc: 4.5377 7.6125 13.8536
angles: 90.00 99.43 90.00
Positions (direct):
Au1 0.2357 0.1855 0.4714
Au2 0.3873 0.0277 0.7746
Au3 0.9575 0.5092 0.9149
Au4 0.7643 0.6855 0.5286
Au5 0.0425 0.0092 0.0851
Au6 0.6127 0.5277 0.2254
Cd1 0.2938 0.8814 0.5876
Cd2 0.5999 0.9135 0.1999
Cd3 0.9447 0.1231 0.8894
Cd4 0.7035 0.9899 0.4069
Cd5 0.2965 0.4899 0.5931
Cd6 0.4001 0.4135 0.8001
Cd7 0.0553 0.6231 0.1106
Cd8 0.1263 0.2507 0.2526
Cd9 0.8737 0.7507 0.7474
Cd10 0.7062 0.3814 0.4124
Ca1 0.4769 0.7933 0.9537
Ca2 0.5231 0.2933 0.0463
Ca3 0.8220 0.1906 0.6440
Ca4 0.1780 0.6906 0.3560


Record 3
First-principles (PBE) data for a geometry-optimized CaCd2Au structure, as listed in Alexandria via LeMat-Bulk.

Values from the calculation:
The formation energy comes out at -37 kJ per mole of atoms.

abc: 4.3663 4.4502 4.8151
angles: 90.00 90.00 90.00
Positions (direct):
Ca1 0.0000 0.5000 0.5000
Au1 0.5000 0.0000 0.5000
Cd1 0.5000 0.5000 0.0000
Cd2 0.0000 0.0000 0.0000


Record 4
First-principles (PBE) data for a geometry-optimized Ca5Cd2Au structure, as listed in Alexandria via LeMat-Bulk.

Values from the calculation:
The formation energy comes out at -37 kJ per mole of atoms.

abc: 5.1268 7.3489 13.0640
angles: 90.00 90.00 90.00
Positions (direct):
Ca1 0.0000 0.6273 0.7145
Ca2 0.0000 0.1273 0.7855
Ca3 0.5000 0.8228 0.9098
Ca4 0.0000 0.5000 0.0000
Ca5 0.5000 0.1772 0.0902
Ca6 0.5000 0.3228 0.5902
Ca7 0.0000 0.8727 0.2145
Ca8 0.5000 0.6772 0.4098
Ca9 0.0000 0.0000 0.5000
Ca10 0.0000 0.3727 0.2855
Au1 0.0000 0.5000 0.5000
Au2 0.0000 0.0000 0.0000
Cd1 0.5000 0.3908 0.8464
Cd2 0.5000 0.8908 0.6536
Cd3 0.5000 0.1092 0.3464
Cd4 0.5000 0.6092 0.1536


What is the formula in the second record?
Ca2Cd5Au3